A) # BaCd2In4 (GGA-PBE, relaxed)
data_BaCd2In4
_symmetry_space_group_name_H-M 'P 1'
_symmetry_Int_Tables_number 1
_cell_length_a 6.593
_cell_length_b 6.593
_cell_length_c 5.584
_cell_angle_alpha 114.43
_cell_angle_beta 114.43
_cell_angle_gamma 76.25
loop_
_symmetry_equiv_pos_as_xyz
'x,y,z'
loop_
_atom_site_label
_atom_site_fract_x
_atom_site_fract_y
_atom_site_fract_z
Ba1 0.000 0.000 0.000
Cd1 0.467 0.467 0.216
Cd2 0.533 0.533 0.784
In1 0.005 0.616 0.316
In2 0.384 0.995 0.684
In3 0.616 0.005 0.316
In4 0.995 0.384 0.684
# Calculated volume ... 28.7 Å³/atom
# SG ... C2/m, No. 12
# Fermi-level density of states ... 3.0 states/eV/f.u.

B) # BaCd2In4 (GGA-PBE, relaxed)
data_BaCd2In4
_symmetry_space_group_name_H-M 'P 1'
_symmetry_Int_Tables_number 1
_cell_length_a 8.861
_cell_length_b 8.861
_cell_length_c 4.921
_cell_angle_alpha 90.00
_cell_angle_beta 90.00
_cell_angle_gamma 147.86
loop_
_symmetry_equiv_pos_as_xyz
'x,y,z'
loop_
_atom_site_label
_atom_site_fract_x
_atom_site_fract_y
_atom_site_fract_z
Ba1 0.000 0.000 0.000
Cd1 0.417 0.583 0.500
Cd2 0.583 0.417 0.500
In1 0.187 0.813 0.500
In2 0.311 0.689 0.000
In3 0.689 0.311 0.000
In4 0.813 0.187 0.500
# Calculated volume ... 29.4 Å³/atom
# SG ... Cmmm, No. 65
# Fermi-level density of states ... 2.2 states/eV/f.u.

Stability summary - winner: B); margin: 0.014 eV/atom.

A) # BaCd2In6 (GGA-PBE, relaxed)
data_BaCd2In6
_symmetry_space_group_name_H-M 'P 1'
_symmetry_Int_Tables_number 1
_cell_length_a 9.682
_cell_length_b 9.682
_cell_length_c 9.682
_cell_angle_alpha 60.00
_cell_angle_beta 60.00
_cell_angle_gamma 60.00
loop_
_symmetry_equiv_pos_as_xyz
'x,y,z'
loop_
_atom_site_label
_atom_site_fract_x
_atom_site_fract_y
_atom_site_fract_z
Ba1 0.125 0.125 0.125
Ba2 0.875 0.875 0.875
Cd1 0.000 0.500 0.500
Cd2 0.500 0.000 0.500
Cd3 0.500 0.500 0.000
Cd4 0.500 0.500 0.500
In1 0.129 0.129 0.621
In2 0.129 0.621 0.129
In3 0.129 0.621 0.621
In4 0.379 0.379 0.871
In5 0.379 0.871 0.379
In6 0.379 0.871 0.871
In7 0.621 0.129 0.129
In8 0.621 0.129 0.621
In9 0.621 0.621 0.129
In10 0.871 0.379 0.379
In11 0.871 0.379 0.871
In12 0.871 0.871 0.379
# Calculated volume ... 35.6 Å³/atom
# SG ... Fd-3m, No. 227
# Fermi-level density of states ... 7.5 states/eV/f.u.

B) # BaCd2In6 (GGA-PBE, relaxed)
data_BaCd2In6
_symmetry_space_group_name_H-M 'P 1'
_symmetry_Int_Tables_number 1
_cell_length_a 4.868
_cell_length_b 4.868
_cell_length_c 10.958
_cell_angle_alpha 90.00
_cell_angle_beta 90.00
_cell_angle_gamma 90.00
loop_
_symmetry_equiv_pos_as_xyz
'x,y,z'
loop_
_atom_site_label
_atom_site_fract_x
_atom_site_fract_y
_atom_site_fract_z
Ba1 0.000 0.000 0.000
Cd1 0.500 0.500 0.129
Cd2 0.500 0.500 0.871
In1 0.000 0.000 0.500
In2 0.000 0.500 0.291
In3 0.000 0.500 0.709
In4 0.500 0.000 0.291
In5 0.500 0.000 0.709
In6 0.500 0.500 0.500
# Calculated volume ... 28.9 Å³/atom
# SG ... P4/mmm, No. 123
# Fermi-level density of states ... 5.9 states/eV/f.u.

Stability summary - winner: B); margin: 0.265 eV/atom.

A) # Ba2Cd2In3 (GGA-PBE, relaxed)
data_Ba2Cd2In3
_symmetry_space_group_name_H-M 'P 1'
_symmetry_Int_Tables_number 1
_cell_length_a 11.267
_cell_length_b 11.267
_cell_length_c 8.188
_cell_angle_alpha 90.00
_cell_angle_beta 90.00
_cell_angle_gamma 153.66
loop_
_symmetry_equiv_pos_as_xyz
'x,y,z'
loop_
_atom_site_label
_atom_site_fract_x
_atom_site_fract_y
_atom_site_fract_z
Ba1 0.057 0.943 0.750
Ba2 0.161 0.839 0.250
Ba3 0.839 0.161 0.750
Ba4 0.943 0.057 0.250
Cd1 0.316 0.684 0.064
Cd2 0.316 0.684 0.436
Cd3 0.684 0.316 0.564
Cd4 0.684 0.316 0.936
In1 0.226 0.774 0.750
In2 0.442 0.558 0.576
In3 0.442 0.558 0.924
In4 0.558 0.442 0.076
In5 0.558 0.442 0.424
In6 0.774 0.226 0.250
# Calculated volume ... 32.9 Å³/atom
# SG ... Cmcm, No. 63
# Fermi-level density of states ... 7.6 states/eV/f.u.

B) # Ba2Cd2In3 (GGA-PBE, relaxed)
data_Ba2Cd2In3
_symmetry_space_group_name_H-M 'P 1'
_symmetry_Int_Tables_number 1
_cell_length_a 6.725
_cell_length_b 6.725
_cell_length_c 7.729
_cell_angle_alpha 112.07
_cell_angle_beta 112.07
_cell_angle_gamma 44.68
loop_
_symmetry_equiv_pos_as_xyz
'x,y,z'
loop_
_atom_site_label
_atom_site_fract_x
_atom_site_fract_y
_atom_site_fract_z
Ba1 0.155 0.155 0.277
Ba2 0.845 0.845 0.723
Cd1 0.149 0.149 0.768
Cd2 0.851 0.851 0.232
In1 0.407 0.407 0.076
In2 0.500 0.500 0.500
In3 0.593 0.593 0.924
# Calculated volume ... 32.1 Å³/atom
# SG ... C2/m, No. 12
# Fermi-level density of states ... 5.8 states/eV/f.u.

Stability summary - winner: A); margin: 0.016 eV/atom.

A) # Ba2Cd3In (GGA-PBE, relaxed)
data_Ba2Cd3In
_symmetry_space_group_name_H-M 'P 1'
_symmetry_Int_Tables_number 1
_cell_length_a 6.656
_cell_length_b 6.656
_cell_length_c 8.550
_cell_angle_alpha 129.65
_cell_angle_beta 129.65
_cell_angle_gamma 46.61
loop_
_symmetry_equiv_pos_as_xyz
'x,y,z'
loop_
_atom_site_label
_atom_site_fract_x
_atom_site_fract_y
_atom_site_fract_z
Ba1 0.000 0.000 0.000
Ba2 0.092 0.092 0.596
Cd1 0.379 0.379 0.564
Cd2 0.707 0.707 0.403
Cd3 0.709 0.709 0.016
In1 0.381 0.381 0.197
# Calculated volume ... 33.0 Å³/atom
# SG ... Cm, No. 8
# Fermi-level density of states ... 5.1 states/eV/f.u.

B) # Ba2Cd3In (GGA-PBE, relaxed)
data_Ba2Cd3In
_symmetry_space_group_name_H-M 'P 1'
_symmetry_Int_Tables_number 1
_cell_length_a 10.519
_cell_length_b 10.071
_cell_length_c 6.741
_cell_angle_alpha 74.53
_cell_angle_beta 67.33
_cell_angle_gamma 38.15
loop_
_symmetry_equiv_pos_as_xyz
'x,y,z'
loop_
_atom_site_label
_atom_site_fract_x
_atom_site_fract_y
_atom_site_fract_z
Ba1 0.245 0.755 0.755
Ba2 0.250 0.250 0.250
Ba3 0.750 0.750 0.750
Ba4 0.755 0.245 0.245
Cd1 0.167 0.167 0.833
Cd2 0.168 0.665 0.335
Cd3 0.335 0.832 0.168
Cd4 0.665 0.168 0.832
Cd5 0.832 0.335 0.665
Cd6 0.833 0.833 0.167
In1 0.334 0.334 0.666
In2 0.666 0.666 0.334
# Calculated volume ... 33.9 Å³/atom
# SG ... Fmmm, No. 69
# Fermi-level density of states ... 5.7 states/eV/f.u.

Stability summary - winner: A); margin: 0.023 eV/atom.

A) # Ba2Cd4In5 (GGA-PBE, relaxed)
data_Ba2Cd4In5
_symmetry_space_group_name_H-M 'P 1'
_symmetry_Int_Tables_number 1
_cell_length_a 7.834
_cell_length_b 7.834
_cell_length_c 7.834
_cell_angle_alpha 130.73
_cell_angle_beta 103.05
_cell_angle_gamma 96.99
loop_
_symmetry_equiv_pos_as_xyz
'x,y,z'
loop_
_atom_site_label
_atom_site_fract_x
_atom_site_fract_y
_atom_site_fract_z
Ba1 0.233 0.000 0.233
Ba2 0.767 0.000 0.767
Cd1 0.127 0.354 0.772
Cd2 0.418 0.646 0.772
Cd3 0.582 0.354 0.228
Cd4 0.873 0.646 0.228
In1 0.000 0.500 0.500
In2 0.263 0.528 0.265
In3 0.263 0.999 0.735
In4 0.737 0.001 0.265
In5 0.737 0.472 0.735
# Calculated volume ... 30.0 Å³/atom
# SG ... Immm, No. 71
# Fermi-level density of states ... 3.9 states/eV/f.u.

B) # Ba2Cd4In5 (GGA-PBE, relaxed)
data_Ba2Cd4In5
_symmetry_space_group_name_H-M 'P 1'
_symmetry_Int_Tables_number 1
_cell_length_a 10.898
_cell_length_b 10.036
_cell_length_c 6.287
_cell_angle_alpha 80.20
_cell_angle_beta 65.16
_cell_angle_gamma 34.65
loop_
_symmetry_equiv_pos_as_xyz
'x,y,z'
loop_
_atom_site_label
_atom_site_fract_x
_atom_site_fract_y
_atom_site_fract_z
Ba1 0.121 0.121 0.879
Ba2 0.879 0.879 0.121
Cd1 0.219 0.505 0.495
Cd2 0.495 0.781 0.219
Cd3 0.505 0.219 0.781
Cd4 0.781 0.495 0.505
In1 0.000 0.000 0.500
In2 0.250 0.250 0.250
In3 0.500 0.500 0.000
In4 0.500 0.500 0.500
In5 0.750 0.750 0.750
# Calculated volume ... 30.3 Å³/atom
# SG ... Fmmm, No. 69
# Fermi-level density of states ... 5.8 states/eV/f.u.

Stability summary - winner: A); margin: 0.019 eV/atom.

A) # BaLi2CdIn (GGA-PBE, relaxed)
data_BaLi2CdIn
_symmetry_space_group_name_H-M 'P 1'
_symmetry_Int_Tables_number 1
_cell_length_a 5.336
_cell_length_b 5.336
_cell_length_c 5.514
_cell_angle_alpha 90.00
_cell_angle_beta 90.00
_cell_angle_gamma 90.00
loop_
_symmetry_equiv_pos_as_xyz
'x,y,z'
loop_
_atom_site_label
_atom_site_fract_x
_atom_site_fract_y
_atom_site_fract_z
Ba1 0.000 0.000 0.000
Li1 0.000 0.500 0.500
Li2 0.500 0.000 0.500
Cd1 0.500 0.500 0.500
In1 0.500 0.500 0.000
# Calculated volume ... 31.4 Å³/atom
# SG ... P4/mmm, No. 123
# Fermi-level density of states ... 3.6 states/eV/f.u.

B) # BaLi2CdIn (GGA-PBE, relaxed)
data_BaLi2CdIn
_symmetry_space_group_name_H-M 'P 1'
_symmetry_Int_Tables_number 1
_cell_length_a 5.336
_cell_length_b 5.336
_cell_length_c 5.556
_cell_angle_alpha 90.00
_cell_angle_beta 90.00
_cell_angle_gamma 90.00
loop_
_symmetry_equiv_pos_as_xyz
'x,y,z'
loop_
_atom_site_label
_atom_site_fract_x
_atom_site_fract_y
_atom_site_fract_z
Ba1 0.000 0.000 0.000
Li1 0.000 0.500 0.500
Li2 0.500 0.000 0.500
Cd1 0.500 0.500 0.000
In1 0.500 0.500 0.500
# Calculated volume ... 31.6 Å³/atom
# SG ... P4/mmm, No. 123
# Fermi-level density of states ... 1.8 states/eV/f.u.

Stability summary - winner: B); margin: 0.021 eV/atom.